*P*
The following is a PBE calculation of crystalline BaMoIrAu at its relaxed geometry, from OQMD.

magnetic moment	3.2	μB per formula unit
space group	F-43m (216)

Geometry as CIF:
```
data_BaMoIrAu
_chemical_formula_sum 'Ba1 Mo1 Ir1 Au1'
_symmetry_space_group_name_H-M 'P 1'
_symmetry_Int_Tables_number 1
_symmetry_space_group_name_Hall 'P 1'
_cell_length_a 5.009
_cell_length_b 5.009
_cell_length_c 5.009
_cell_angle_alpha 60.00
_cell_angle_beta 60.00
_cell_angle_gamma 60.00
loop_
_atom_site_label
_atom_site_fract_x
_atom_site_fract_y
_atom_site_fract_z
_atom_site_occupancy
Ba1 0.000 0.000 0.000 1
Mo1 0.500 0.500 0.500 1
Ir1 0.250 0.250 0.250 1
Au1 0.750 0.750 0.750 1
```

*Q*
The following is a PBE calculation of crystalline BaMoIrAu at its relaxed geometry, from OQMD.

magnetic moment	0.0	μB per formula unit
space group	F-43m (216)

Geometry as CIF:
```
data_BaMoIrAu
_chemical_formula_sum 'Ba1 Mo1 Ir1 Au1'
_symmetry_space_group_name_H-M 'P 1'
_symmetry_Int_Tables_number 1
_symmetry_space_group_name_Hall 'P 1'
_cell_length_a 4.860
_cell_length_b 4.860
_cell_length_c 4.860
_cell_angle_alpha 60.00
_cell_angle_beta 60.00
_cell_angle_gamma 60.00
loop_
_atom_site_label
_atom_site_fract_x
_atom_site_fract_y
_atom_site_fract_z
_atom_site_occupancy
Ba1 0.000 0.000 0.000 1
Mo1 0.750 0.750 0.750 1
Ir1 0.500 0.500 0.500 1
Au1 0.250 0.250 0.250 1
```

Stability, descending: *P*, *Q*